(1)
# K2Tm3Se6

An optimized crystal structure of K2Tm3Se6 (PBE, Alexandria).

Output
Energy relative to the elements, uncorrected   -1.65 eV per atom
Volume   31.0 Å³ per atom

Unit cell a=7.045 b=12.204 c=8.285 alpha=90.00 beta=106.47 gamma=90.00
Space group C2/m (No. 12)
One atom of each set of equivalent atoms:
K1 0.000 0.167 0.000 (multiplicity 4)
Tm1 0.000 0.000 0.500 (multiplicity 2)
Tm2 0.000 0.333 0.500 (multiplicity 4)
Se1 0.233 0.500 0.700 (multiplicity 4)
Se2 0.234 0.166 0.701 (multiplicity 8)



(2)
# Cs3Er2ThSe6

An optimized crystal structure of Cs3Er2ThSe6 (PBE, Alexandria).

Output
Energy relative to the elements, uncorrected   -1.65 eV per atom
Volume   33.0 Å³ per atom

Unit cell a=7.370 b=12.768 c=8.769 alpha=90.00 beta=106.28 gamma=90.00
Space group C2/m (No. 12)
One atom of each set of equivalent atoms:
Cs1 0.000 0.000 0.000 (multiplicity 2)
Cs2 0.000 0.334 0.000 (multiplicity 4)
Er1 0.000 0.167 0.500 (multiplicity 4)
Th1 0.000 0.500 0.500 (multiplicity 2)
Se1 0.224 0.000 0.687 (multiplicity 4)
Se2 0.232 0.331 0.687 (multiplicity 8)



(3)
# Ca2MgAu

An optimized crystal structure of Ca2MgAu (PBE, Alexandria).

Output
ΔE_f   -1.7 eV/f.u.
Volume   28.8 Å³ per atom

Unit cell a=4.348 b=4.499 c=6.267 alpha=90.00 beta=110.20 gamma=90.00
Space group Pm (No. 6)
One atom of each set of equivalent atoms:
Ca1 0.000 0.000 0.000 (multiplicity 1)
Ca2 0.298 0.500 0.596 (multiplicity 1)
Mg1 0.589 0.500 0.180 (multiplicity 1)
Au1 0.726 0.000 0.450 (multiplicity 1)



(4)
# TeOsRu2

An optimized crystal structure of TeOsRu2 (PBE, Alexandria).

Output
Energy relative to the elements, uncorrected   0.57 eV per atom
Volume   15.6 Å³ per atom

Unit cell a=3.971 b=3.971 c=3.965 alpha=90.00 beta=90.00 gamma=90.00
Space group P4/mmm (No. 123)
One atom of each set of equivalent atoms:
Te1 0.000 0.000 0.000 (multiplicity 1)
Os1 0.500 0.500 0.000 (multiplicity 1)
Ru1 0.000 0.500 0.500 (multiplicity 2)



(5)
# Rb2TaAlW

An optimized crystal structure of Rb2TaAlW (PBE, Alexandria).

Output
ΔE_f   12.4 eV/f.u.
Volume   41.9 Å³ per atom

Unit cell a=6.386 b=6.386 c=5.132 alpha=90.00 beta=90.00 gamma=90.00
Space group P4/mmm (No. 123)
One atom of each set of equivalent atoms:
Rb1 0.000 0.500 0.000 (multiplicity 2)
Ta1 0.000 0.000 0.500 (multiplicity 1)
Al1 0.000 0.000 0.000 (multiplicity 1)
W1 0.500 0.500 0.500 (multiplicity 1)



(6)
# CaZrW2

An optimized crystal structure of CaZrW2 (PBE, Alexandria).

Output
ΔE_f   2.7 eV/f.u.
Offset from the most stable computed form   287 meV per atom
Volume   19.9 Å³ per atom

Unit cell a=2.804 b=2.804 c=10.130 alpha=90.00 beta=90.00 gamma=90.00
Space group P4/mmm (No. 123)
One atom of each set of equivalent atoms:
Ca1 0.000 0.000 0.000 (multiplicity 1)
Zr1 0.000 0.000 0.500 (multiplicity 1)
W1 0.500 0.500 0.263 (multiplicity 2)